Material: PmSmGe3
Method: DFT, PBE-GGA
State: relaxed

Calculated values
- N(E_F): 10.2 states/eV per cell
- E: -26.8 eV/f.u.

Unit cell a=4.278 b=27.186 c=4.053 alpha=90.00 beta=90.00 gamma=90.00
Space group Cmcm (No. 63)
Unique sites:
1 Pm 0.000 0.072 0.250 [4 per cell]
2 Sm 0.000 0.203 0.750 [4 per cell]
3 Ge 0.000 0.315 0.750 [4 per cell]
4 Ge 0.000 0.377 0.250 [4 per cell]
5 Ge 0.000 0.471 0.250 [4 per cell]

Material: Ce3Ru2
Method: DFT, PBE-GGA
State: relaxed

Calculated values
- E above lowest polymorph: 119 meV/atom
- N(E_F): 29.1 states/eV per cell

Unit cell a=8.437 b=9.643 c=5.825 alpha=90.00 beta=90.00 gamma=90.00
Space group Ibam (No. 72)
Unique sites:
1 Ce 0.000 0.000 0.250 [4 per cell]
2 Ce 0.148 0.361 0.000 [8 per cell]
3 Ru 0.199 0.368 0.500 [8 per cell]

Material: SmUTe2N
Method: DFT, PBE-GGA
State: relaxed

Calculated values
- N(E_F): 13.6 states/eV per cell
- Formation energy from raw total energies: -6.31 eV per formula unit

Unit cell a=4.054 b=4.054 c=16.489 alpha=90.00 beta=90.00 gamma=90.00
Space group P4/nmm (No. 129, origin choice 2)
Unique sites:
1 Sm 0.250 0.250 0.143 [2 per cell]
2 U 0.250 0.250 0.566 [2 per cell]
3 Te 0.250 0.250 0.326 [2 per cell]
4 Te 0.250 0.250 0.920 [2 per cell]
5 N 0.250 0.750 0.500 [2 per cell]